Record 1
The following is a PBE calculation of crystalline TlInW2 at its relaxed geometry, from Alexandria.

Results
Total magnetization in μB per formula unit: 0.0
VASP energy in eV/f.u.: -26.34
Energy above the lowest structure with this stoichiometry in meV/atom: 639
D(E_F) in states/eV/f.u.: 2.183

Cell and atoms, written as extended XYZ:
```
4
Lattice="-0.101 2.329 2.369 -3.311 0.123 -0.261 -0.548 -4.796 4.692" Properties=species:S:1:pos:R:3 pbc="T T T"
In -1.843 0.027 2.227
Tl -2.117 -2.371 4.572
W -0.004 -0.034 0.034
W -0.270 -2.363 2.312
```

Record 2
The following is a PBE calculation of crystalline Sm2TmPuP4 at its relaxed geometry, from Alexandria.

Results
Total magnetization in μB per formula unit: 4.9
VASP energy in eV/f.u.: -61.58
D(E_F) in states/eV/f.u.: 11.801

Cell and atoms, written as extended XYZ:
```
8
Lattice="-1.091 3.740 1.088 -4.412 -2.655 4.705 6.258 0.965 2.957" Properties=species:S:1:pos:R:3 pbc="T T T"
Sm 2.584 2.353 2.022
Sm 0.923 -0.845 3.831
Tm -2.751 0.542 2.896
Pu 0.000 0.000 0.000
P -0.135 1.449 2.404
P 0.890 0.601 6.346
P 3.644 0.063 3.439
P -1.798 -1.752 4.224
```

Record 3
The following is a PBE calculation of crystalline MgTlRh at its relaxed geometry, from Alexandria.

Results
Total magnetization in μB per formula unit: 0.0
VASP energy in eV/f.u.: -11.84
D(E_F) in states/eV/f.u.: 1.403

Cell and atoms, written as extended XYZ:
```
12
Lattice="-2.538 -2.310 -4.119 -1.927 -6.334 2.655 -6.861 1.405 1.356" Properties=species:S:1:pos:R:3 pbc="T T T"
Tl -8.093 -3.375 2.367
Tl -7.626 -6.329 -0.469
Tl -3.232 -3.864 -2.475
Tl -3.699 -0.910 0.361
Rh -5.845 -2.074 1.578
Rh -3.378 -5.943 2.228
Rh -5.481 -5.165 -1.686
Rh -7.948 -1.296 -2.335
Mg -6.909 -3.126 -0.647
Mg -4.442 -6.995 0.002
Mg -4.416 -4.113 0.540
Mg -6.883 -0.243 -0.109
```

Record 4
The following is a PBE calculation of crystalline AcInTe2O8 at its relaxed geometry, from Alexandria.

Results
Formation energy without anion corrections in eV per atom: -1.4375
Total magnetization in μB per formula unit: 0.0
VASP energy in eV/f.u.: -70.05
D(E_F) in states/eV/f.u.: 0.174

Cell and atoms, written as extended XYZ:
```
12
Lattice="-2.678 -0.684 -5.785 4.229 -4.660 1.227 -4.640 -0.271 4.417" Properties=species:S:1:pos:R:3 pbc="T T T"
Ac 0.000 0.000 0.000
In 0.182 -3.802 1.682
Te -3.271 -1.814 -1.824
Te 0.775 -2.672 -2.279
O -2.215 -0.722 -0.793
O 0.399 -2.672 -0.270
O -4.073 -0.931 1.845
O -4.861 -1.068 -1.287
O -0.425 -3.874 -3.417
O -2.930 -1.842 -3.628
O -3.079 -3.625 -1.588
O -2.080 -3.756 1.558
```

Record 5
The following is a PBE calculation of crystalline Hf2MoP at its relaxed geometry, from Alexandria.

Results
Total magnetization in μB per formula unit: 0.1
VASP energy in eV/f.u.: -35.69
D(E_F) in states/eV/f.u.: 3.791

Cell and atoms, written as extended XYZ:
```
4
Lattice="3.306 0.000 0.000 1.653 2.863 0.000 1.653 0.954 8.429" Properties=species:S:1:pos:R:3 pbc="T T T"
P 3.306 1.909 4.214
Mo 0.000 0.000 0.000
Hf 1.653 0.954 5.873
Hf 4.959 2.863 2.556
```

Record 6
The following is a PBE calculation of crystalline Y2AlTl at its relaxed geometry, from Alexandria.

Results
Total magnetization in μB per formula unit: 0.0
VASP energy in eV/f.u.: -20.59
D(E_F) in states/eV/f.u.: 1.815

Cell and atoms, written as extended XYZ:
```
4
Lattice="3.631 0.000 0.000 0.000 3.632 0.000 0.000 0.000 7.768" Properties=species:S:1:pos:R:3 pbc="T T T"
Y 0.000 0.000 0.111
Y 0.000 0.000 3.773
Tl 1.816 1.816 5.826
Al 1.816 1.816 1.942
```

- What is the D(E_F) in the fifth record?
  3.791 states/eV/f.u.

- Which of these has the highest total magnetization?
  Sm2TmPuP4

- What is the VASP energy in the fifth record?
  -35.69 eV/f.u.